[1]
# CrCuTe2

A relaxed structure of CrCuTe2 (PBE-GGA, Alexandria via LeMat-Bulk).

Properties
Its volume is 23.99 A^3/atom. The value obtained for the uncorrected formation energy is 0.073 eV per atom. The value obtained for the total energy is -39.4 eV per cell. The value obtained for the density is 6.416 g/cm³. The density of states at the Fermi level is 3.51 states/eV/cell. For the energy relative to the lowest polymorph listed for this composition, the calculation gives 0.38 eV per formula unit.

a = 3.6158 Å, b = 3.8060 Å, c = 13.9447 Å
α = 90.00°, β = 90.00°, γ = 90.00°
Fractional coordinates of all 8 atoms:
Cr  0.0000  0.0000  0.0000
Cr  0.5000  0.5000  0.5000
Cu  0.0000  0.5000  0.1364
Cu  0.5000  0.0000  0.6364
Te  0.0000  0.0000  0.4188
Te  0.0000  0.5000  0.6591
Te  0.5000  0.0000  0.1591
Te  0.5000  0.5000  0.9188



[2]
# CrCuTe

A relaxed structure of CrCuTe (PBE-GGA, Alexandria via LeMat-Bulk).

Properties
Its volume is 19.20 A^3/atom. The value obtained for the uncorrected formation energy is 0.350 eV per atom. The value obtained for the total energy is -15.8 eV per cell. The value obtained for the density is 7.010 g/cm³. The density of states at the Fermi level is 1.99 states/eV/cell. For the energy relative to the lowest polymorph listed for this composition, the calculation gives 0.68 eV per formula unit.

a = 4.0635 Å, b = 4.0635 Å, c = 4.0276 Å
α = 90.00°, β = 90.00°, γ = 120.00°
Fractional coordinates of all 3 atoms:
Cr  0.0000  0.0000  0.0000
Cu  0.3333  0.6667  0.2935
Te  0.6667  0.3333  0.6084



[3]
# CrCuTe2

A relaxed structure of CrCuTe2 (PBE-GGA, Alexandria via LeMat-Bulk).

Properties
Its volume is 23.73 A^3/atom. The value obtained for the uncorrected formation energy is 0.273 eV per atom. The value obtained for the total energy is -37.8 eV per cell. The value obtained for the density is 6.485 g/cm³. The density of states at the Fermi level is 3.12 states/eV/cell. For the energy relative to the lowest polymorph listed for this composition, the calculation gives 1.18 eV per formula unit.

a = 6.4100 Å, b = 7.7918 Å, c = 4.4266 Å
α = 90.00°, β = 120.82°, γ = 90.00°
Fractional coordinates of all 8 atoms:
Cr  0.0000  0.0000  0.0000
Cr  0.5000  0.5000  0.0000
Cu  0.0000  0.5000  0.0000
Cu  0.5000  0.0000  0.0000
Te  0.2500  0.2500  0.5000
Te  0.2500  0.7500  0.5000
Te  0.7500  0.2500  0.5000
Te  0.7500  0.7500  0.5000



Which formula does entry 1 have? CrCuTe2



What is the energy relative to the lowest polymorph listed for this composition in the first record? 0.38 eV per formula unit